Here is a geometry-optimized Ba3CdHg2 structure from the Alexandria database. Energies are from GGA-PBE.

Lattice parameters (Å, degrees): 5.988 17.955 4.213 90.00 90.00 90.00
Space group Cmmm (No. 65)
Unique sites:
Ba 0.000 0.000 0.000
Ba 0.000 0.331 0.000
Cd 0.000 0.500 0.500
Hg 0.000 0.164 0.500

Properties
- Total energy: -1.67 eV per atom
- Magnetic moment: 0.000 μB per atom